# Tb2Dy5Tl (PBE, relaxed)
# Final energy ... -4.383 eV per atom
# ΔE to the lowest computed polymorph ... 0 meV/atom
# Energy of formation ... -0.05 eV per atom
# DOS at the Fermi energy ... 1.3116 states/eV/atom
data_Tb2Dy5Tl
_cell_length_a 6.9882
_cell_length_b 14.0215
_cell_length_c 4.9508
_cell_angle_alpha 90.00
_cell_angle_beta 90.00
_cell_angle_gamma 90.00
_symmetry_space_group_name_H-M 'P b a m'
_symmetry_Int_Tables_number 55
loop_
_symmetry_equiv_pos_as_xyz
'x,y,z'
'-x,-y,-z'
'-x,-y,z'
'x,y,-z'
'x+1/2,-y+1/2,-z'
'-x+1/2,y+1/2,z'
'-x+1/2,y+1/2,-z'
'x+1/2,-y+1/2,z'
loop_
_atom_site_label
_atom_site_fract_x
_atom_site_fract_y
_atom_site_fract_z
_atom_site_occupancy
Tb1 0.2447 0.1264 0.0000 1
Dy1 0.0000 0.0000 0.5000 1
Dy2 0.0006 0.2568 0.5000 1
Dy3 0.2449 0.8743 0.0000 1
Tl1 0.0000 0.5000 0.5000 1

# Ca3PtI (PBE, relaxed)
# Final energy ... -3.448 eV per atom
# ΔE to the lowest computed polymorph ... 0 meV/atom
# E_form (uncorrected) ... -0.729 eV per atom
# DOS at the Fermi energy ... 0.4715 states/eV/atom
data_Ca3PtI
_cell_length_a 5.6441
_cell_length_b 5.6441
_cell_length_c 5.6441
_cell_angle_alpha 90.00
_cell_angle_beta 90.00
_cell_angle_gamma 90.00
_symmetry_space_group_name_H-M 'P m -3 m'
_symmetry_Int_Tables_number 221
_symmetry_space_group_name_Hall '-P 4 2 3'
loop_
_atom_site_label
_atom_site_fract_x
_atom_site_fract_y
_atom_site_fract_z
_atom_site_occupancy
Ca1 0.0000 0.0000 0.5000 1
Pt1 0.0000 0.0000 0.0000 1
I1 0.5000 0.5000 0.5000 1

# Ru2Se (PBE, relaxed)
# Final energy ... -7.118 eV per atom
# ΔE to the lowest computed polymorph ... 166 meV/atom
# E_form (uncorrected) ... 0.228 eV per atom
# DOS at the Fermi energy ... 1.1412 states/eV/atom
data_Ru2Se
_cell_length_a 2.8880
_cell_length_b 15.2406
_cell_length_c 4.3617
_cell_angle_alpha 90.00
_cell_angle_beta 90.00
_cell_angle_gamma 90.00
_symmetry_space_group_name_H-M 'C m c m'
_symmetry_Int_Tables_number 63
_symmetry_space_group_name_Hall '-C 2c 2'
loop_
_atom_site_label
_atom_site_fract_x
_atom_site_fract_y
_atom_site_fract_z
_atom_site_occupancy
Ru1 0.0000 0.1234 0.2500 1
Ru2 0.0000 0.2311 0.7500 1
Se1 0.0000 0.4125 0.2500 1

# NiMoPt (PBE, relaxed)
# Final energy ... -7.739 eV per atom
# ΔE to the lowest computed polymorph ... 69 meV/atom
# Energy of formation ... -0.19 eV per atom
# DOS at the Fermi energy ... 0.8688 states/eV/atom
data_NiMoPt
_cell_length_a 4.6398
_cell_length_b 8.2019
_cell_length_c 4.5840
_cell_angle_alpha 90.00
_cell_angle_beta 104.62
_cell_angle_gamma 90.00
_symmetry_space_group_name_H-M 'C 1 2/c 1'
_symmetry_Int_Tables_number 15
loop_
_symmetry_equiv_pos_as_xyz
'x,y,z'
'-x,-y,-z'
'-x,y,-z+1/2'
'x,-y,z+1/2'
'x+1/2,y+1/2,z'
'-x+1/2,-y+1/2,-z'
'-x+1/2,y+1/2,-z+1/2'
'x+1/2,-y+1/2,z+1/2'
loop_
_atom_site_label
_atom_site_fract_x
_atom_site_fract_y
_atom_site_fract_z
_atom_site_occupancy
Ni1 0.0000 0.2499 0.2500 1
Mo1 0.0000 0.0872 0.7500 1
Pt1 0.0000 0.4110 0.7500 1

| no. | ρ (g cm⁻³) |
| --- | --- |
| 1 | 9.1 |
| 2 | 4.1 |
| 3 | 9.7 |
| 4 | 13.8 |